Material: Zn2BAu2
Method: DFT, PBE-GGA
State: optimized geometry

Unit cell a=3.449 b=3.449 c=7.173 alpha=76.09 beta=76.09 gamma=90.00
Sites, in units of the cell vectors:
Zn 0.750 0.250 0.500
Zn 0.250 0.750 0.500
B 0.000 0.000 0.000
Au 0.402 0.402 0.197
Au 0.598 0.598 0.803

Values from the calculation:
Its energy above the most stable polymorph in this dataset is 303 meV/atom. The formation energy is 637.9 meV per atom. For the calculated volume, the calculation gives 80 Å³/f.u. The symmetry is I4/mmm, No. 139.